(1)
# PBE TaMn4Al, optimized geometry
# N(E_F)	6.4	states/eV per cell
# magnetization	2.81	μB per formula unit
# space group	F-43m (216)
# energy of formation	-0.207	eV per atom
# calculated density	9.32	g/cm³
data_TaMn4Al
_space_group_name_H-M_alt 'P 1'
_space_group_IT_number 1
_space_group_name_Hall 'P 1'
_cell_length_a 4.759
_cell_length_b 4.759
_cell_length_c 4.759
_cell_angle_alpha 60.00
_cell_angle_beta 60.00
_cell_angle_gamma 60.00
loop_
_atom_site_label
_atom_site_type_symbol
_atom_site_fract_x
_atom_site_fract_y
_atom_site_fract_z
Mn1 Mn 0.626 0.122 0.626
Mn2 Mn 0.626 0.626 0.626
Mn3 Mn 0.626 0.626 0.122
Mn4 Mn 0.122 0.626 0.626
Ta1 Ta 0.250 0.250 0.250
Al1 Al 0.000 0.000 0.000

---

(2)
# PBE Ta2MnAl2, optimized geometry
# N(E_F)	4.3	states/eV per cell
# magnetization	1.84	μB per formula unit
# space group	P4/mbm (127)
# energy of formation	-0.057	eV per atom
# calculated density	9.72	g/cm³
data_Ta2MnAl2
_space_group_name_H-M_alt 'P 1'
_space_group_IT_number 1
_space_group_name_Hall 'P 1'
_cell_length_a 6.472
_cell_length_b 6.472
_cell_length_c 3.841
_cell_angle_alpha 90.00
_cell_angle_beta 90.00
_cell_angle_gamma 90.00
loop_
_atom_site_label
_atom_site_type_symbol
_atom_site_fract_x
_atom_site_fract_y
_atom_site_fract_z
Ta1 Ta 0.834 0.334 0.500
Ta2 Ta 0.334 0.166 0.500
Ta3 Ta 0.166 0.666 0.500
Ta4 Ta 0.666 0.834 0.500
Al1 Al 0.363 0.863 0.000
Al2 Al 0.863 0.637 0.000
Al3 Al 0.637 0.137 0.000
Al4 Al 0.137 0.363 0.000
Mn1 Mn 0.000 0.000 0.000
Mn2 Mn 0.500 0.500 0.000

---

(3)
# PBE TaMn2Al, optimized geometry
# N(E_F)	3.5	states/eV per cell
# magnetization	2.07	μB per formula unit
# space group	Pm (6)
# energy of formation	-0.042	eV per atom
# calculated density	9.53	g/cm³
data_TaMn2Al
_space_group_name_H-M_alt 'P 1'
_space_group_IT_number 1
_space_group_name_Hall 'P 1'
_cell_length_a 4.150
_cell_length_b 2.720
_cell_length_c 5.053
_cell_angle_alpha 75.97
_cell_angle_beta 90.00
_cell_angle_gamma 90.00
loop_
_atom_site_label
_atom_site_type_symbol
_atom_site_fract_x
_atom_site_fract_y
_atom_site_fract_z
Ta1 Ta 0.000 0.484 0.490
Mn1 Mn 0.500 0.191 0.232
Mn2 Mn 0.000 0.015 0.003
Al1 Al 0.500 0.810 0.774

---

(4)
# PBE TaMnAl, optimized geometry
# N(E_F)	2.8	states/eV per cell
# magnetization	0.61	μB per formula unit
# space group	I4mm (107)
# energy of formation	-0.171	eV per atom
# calculated density	9.92	g/cm³
data_TaMnAl
_space_group_name_H-M_alt 'P 1'
_space_group_IT_number 1
_space_group_name_Hall 'P 1'
_cell_length_a 5.099
_cell_length_b 5.099
_cell_length_c 5.099
_cell_angle_alpha 144.72
_cell_angle_beta 144.72
_cell_angle_gamma 50.76
loop_
_atom_site_label
_atom_site_type_symbol
_atom_site_fract_x
_atom_site_fract_y
_atom_site_fract_z
Mn1 Mn 0.331 0.331 0.000
Al1 Al 0.986 0.986 0.000
Ta1 Ta 0.683 0.683 0.000

---

(5)
# PBE TaMn2Al, optimized geometry
# N(E_F)	3.6	states/eV per cell
# magnetization	0.00	μB per formula unit
# space group	P4mm (99)
# energy of formation	-0.124	eV per atom
# calculated density	9.71	g/cm³
data_TaMn2Al
_space_group_name_H-M_alt 'P 1'
_space_group_IT_number 1
_space_group_name_Hall 'P 1'
_cell_length_a 2.783
_cell_length_b 2.783
_cell_length_c 7.016
_cell_angle_alpha 90.00
_cell_angle_beta 90.00
_cell_angle_gamma 90.00
loop_
_atom_site_label
_atom_site_type_symbol
_atom_site_fract_x
_atom_site_fract_y
_atom_site_fract_z
Al1 Al 0.500 0.500 0.788
Mn1 Mn 0.500 0.500 0.203
Mn2 Mn 0.000 0.000 0.024
Ta1 Ta 0.000 0.000 0.485

---

(6)
# PBE TaMnAl, optimized geometry
# N(E_F)	17.0	states/eV per cell
# magnetization	1.03	μB per formula unit
# space group	R-3m (166)
# energy of formation	-0.244	eV per atom
# calculated density	10.04	g/cm³
data_TaMnAl
_space_group_name_H-M_alt 'P 1'
_space_group_IT_number 1
_space_group_name_Hall 'P 1'
_cell_length_a 4.978
_cell_length_b 4.978
_cell_length_c 12.489
_cell_angle_alpha 78.50
_cell_angle_beta 78.50
_cell_angle_gamma 60.00
loop_
_atom_site_label
_atom_site_type_symbol
_atom_site_fract_x
_atom_site_fract_y
_atom_site_fract_z
Al1 Al 0.000 0.500 0.000
Al2 Al 0.500 0.500 0.500
Al3 Al 0.394 0.394 0.819
Al4 Al 0.500 0.000 0.000
Al5 Al 0.500 0.500 0.000
Al6 Al 0.606 0.606 0.181
Ta1 Ta 0.739 0.739 0.784
Ta2 Ta 0.955 0.955 0.135
Ta3 Ta 0.261 0.261 0.216
Ta4 Ta 0.045 0.045 0.865
Ta5 Ta 0.819 0.819 0.542
Ta6 Ta 0.181 0.181 0.458
Mn1 Mn 0.205 0.729 0.337
Mn2 Mn 0.271 0.271 0.663
Mn3 Mn 0.795 0.271 0.663
Mn4 Mn 0.271 0.795 0.663
Mn5 Mn 0.729 0.205 0.337
Mn6 Mn 0.729 0.729 0.337

---

(7)
# PBE TaMn2Al, optimized geometry
# N(E_F)	3.0	states/eV per cell
# magnetization	0.62	μB per formula unit
# space group	Imm2 (44)
# energy of formation	-0.171	eV per atom
# calculated density	9.81	g/cm³
data_TaMn2Al
_space_group_name_H-M_alt 'P 1'
_space_group_IT_number 1
_space_group_name_Hall 'P 1'
_cell_length_a 5.013
_cell_length_b 5.013
_cell_length_c 4.189
_cell_angle_alpha 65.29
_cell_angle_beta 65.29
_cell_angle_gamma 34.63
loop_
_atom_site_label
_atom_site_type_symbol
_atom_site_fract_x
_atom_site_fract_y
_atom_site_fract_z
Al1 Al 0.262 0.262 0.238
Mn1 Mn 0.739 0.739 0.761
Mn2 Mn 0.008 0.008 0.991
Ta1 Ta 0.490 0.490 0.510

---

(8)
# PBE TaMn2Al, optimized geometry
# N(E_F)	2.6	states/eV per cell
# magnetization	2.01	μB per formula unit
# space group	P4/mmm (123)
# energy of formation	-0.259	eV per atom
# calculated density	9.72	g/cm³
data_TaMn2Al
_space_group_name_H-M_alt 'P 1'
_space_group_IT_number 1
_space_group_name_Hall 'P 1'
_cell_length_a 3.108
_cell_length_b 4.180
_cell_length_c 4.180
_cell_angle_alpha 90.00
_cell_angle_beta 90.00
_cell_angle_gamma 90.00
loop_
_atom_site_label
_atom_site_type_symbol
_atom_site_fract_x
_atom_site_fract_y
_atom_site_fract_z
Al1 Al 0.500 0.000 0.500
Mn1 Mn 0.000 0.000 0.000
Mn2 Mn 0.000 0.500 0.500
Ta1 Ta 0.500 0.500 0.000

---

(9)
# PBE TaMn2Al, optimized geometry
# N(E_F)	5.0	states/eV per cell
# magnetization	4.01	μB per formula unit
# space group	I-42d (122)
# energy of formation	0.491	eV per atom
# calculated density	8.50	g/cm³
data_TaMn2Al
_space_group_name_H-M_alt 'P 1'
_space_group_IT_number 1
_space_group_name_Hall 'P 1'
_cell_length_a 6.818
_cell_length_b 6.818
_cell_length_c 5.511
_cell_angle_alpha 51.79
_cell_angle_beta 51.79
_cell_angle_gamma 90.00
loop_
_atom_site_label
_atom_site_type_symbol
_atom_site_fract_x
_atom_site_fract_y
_atom_site_fract_z
Ta1 Ta 0.000 0.000 0.000
Ta2 Ta 0.750 0.250 0.500
Al1 Al 0.250 0.750 0.500
Al2 Al 0.500 0.500 0.000
Mn1 Mn 0.375 0.379 0.750
Mn2 Mn 0.129 0.625 0.250
Mn3 Mn 0.621 0.125 0.250
Mn4 Mn 0.875 0.871 0.750

---

(10)
# PBE Ta6MnAl, optimized geometry
# N(E_F)	5.3	states/eV per cell
# magnetization	0.46	μB per formula unit
# space group	Pm-3 (200)
# energy of formation	-0.090	eV per atom
# calculated density	14.17	g/cm³
data_Ta6MnAl
_space_group_name_H-M_alt 'P 1'
_space_group_IT_number 1
_space_group_name_Hall 'P 1'
_cell_length_a 7.284
_cell_length_b 7.288
_cell_length_c 5.151
_cell_angle_alpha 45.01
_cell_angle_beta 45.04
_cell_angle_gamma 60.02
loop_
_atom_site_label
_atom_site_type_symbol
_atom_site_fract_x
_atom_site_fract_y
_atom_site_fract_z
Ta1 Ta 0.000 0.500 0.747
Ta2 Ta 0.754 0.000 0.746
Ta3 Ta 0.500 0.754 0.747
Ta4 Ta 0.500 0.246 0.253
Ta5 Ta 0.000 0.500 0.253
Ta6 Ta 0.246 0.000 0.254
Mn1 Mn 0.000 0.000 0.000
Al1 Al 0.500 0.500 0.500

---

(11)
# PBE TaMn2Al, optimized geometry
# N(E_F)	4.2	states/eV per cell
# magnetization	4.15	μB per formula unit
# space group	F-43m (216)
# energy of formation	0.043	eV per atom
# calculated density	9.17	g/cm³
data_TaMn2Al
_space_group_name_H-M_alt 'P 1'
_space_group_IT_number 1
_space_group_name_Hall 'P 1'
_cell_length_a 4.333
_cell_length_b 4.333
_cell_length_c 4.333
_cell_angle_alpha 60.00
_cell_angle_beta 60.00
_cell_angle_gamma 60.00
loop_
_atom_site_label
_atom_site_type_symbol
_atom_site_fract_x
_atom_site_fract_y
_atom_site_fract_z
Mn1 Mn 0.000 0.000 0.000
Mn2 Mn 0.250 0.250 0.250
Ta1 Ta 0.750 0.750 0.750
Al1 Al 0.500 0.500 0.500

---

(12)
# PBE TaMnAl, optimized geometry
# N(E_F)	2.6	states/eV per cell
# magnetization	2.89	μB per formula unit
# space group	P3m1 (156)
# energy of formation	0.078	eV per atom
# calculated density	9.10	g/cm³
data_TaMnAl
_space_group_name_H-M_alt 'P 1'
_space_group_IT_number 1
_space_group_name_Hall 'P 1'
_cell_length_a 2.870
_cell_length_b 2.870
_cell_length_c 6.728
_cell_angle_alpha 90.00
_cell_angle_beta 90.00
_cell_angle_gamma 120.00
loop_
_atom_site_label
_atom_site_type_symbol
_atom_site_fract_x
_atom_site_fract_y
_atom_site_fract_z
Mn1 Mn 0.333 0.667 0.327
Al1 Al 0.000 0.000 0.013
Ta1 Ta 0.667 0.333 0.660

---

(13)
# PBE TaMn2Al, optimized geometry
# N(E_F)	3.3	states/eV per cell
# magnetization	3.16	μB per formula unit
# space group	I-4m2 (119)
# energy of formation	-0.112	eV per atom
# calculated density	9.40	g/cm³
data_TaMn2Al
_space_group_name_H-M_alt 'P 1'
_space_group_IT_number 1
_space_group_name_Hall 'P 1'
_cell_length_a 4.962
_cell_length_b 4.962
_cell_length_c 4.962
_cell_angle_alpha 136.98
_cell_angle_beta 136.98
_cell_angle_gamma 62.47
loop_
_atom_site_label
_atom_site_type_symbol
_atom_site_fract_x
_atom_site_fract_y
_atom_site_fract_z
Ta1 Ta 0.500 0.500 0.000
Mn1 Mn 0.250 0.750 0.500
Mn2 Mn 0.000 0.000 0.000
Al1 Al 0.750 0.250 0.500

---

(14)
# PBE TaMn2Al, optimized geometry
# N(E_F)	4.1	states/eV per cell
# magnetization	4.69	μB per formula unit
# space group	C2/m (12)
# energy of formation	0.022	eV per atom
# calculated density	9.02	g/cm³
data_TaMn2Al
_space_group_name_H-M_alt 'P 1'
_space_group_IT_number 1
_space_group_name_Hall 'P 1'
_cell_length_a 4.552
_cell_length_b 4.552
_cell_length_c 4.897
_cell_angle_alpha 81.63
_cell_angle_beta 81.63
_cell_angle_gamma 35.68
loop_
_atom_site_label
_atom_site_type_symbol
_atom_site_fract_x
_atom_site_fract_y
_atom_site_fract_z
Mn1 Mn 0.506 0.506 0.487
Mn2 Mn 0.994 0.994 0.013
Ta1 Ta 0.750 0.750 0.750
Al1 Al 0.250 0.250 0.250